(1)
The following is a DFT calculation (PBE with a Hubbard U) of a relaxed ZrCoNO crystal.

POSCAR file:
```
ZrCoNO
1.0
3.3935 0.0000 0.0000
0.0000 5.4597 0.0000
0.0000 0.0000 5.7990
Zr Co N O
2 2 2 2
Cartesian
0.0000 0.9316 0.0000 Zr
0.0000 4.5281 2.8995 Zr
1.6967 1.7252 2.5312 Co
1.6967 3.7345 5.4307 Co
1.6967 1.8938 0.6673 N
1.6967 3.5659 3.5668 N
0.0000 0.9461 3.7359 O
0.0000 4.5136 0.8364 O
```

Output
DFT total energy ... -31.81 eV per formula unit
Excess energy over the best structure of this formula in the dataset ... 0.176 eV/atom

---

(2)
The following is a DFT calculation (PBE with a Hubbard U) of a relaxed ZrCoNO crystal.

POSCAR file:
```
ZrCoNO
1.0
6.1916 0.0000 0.0000
0.0000 7.1420 0.0000
0.0000 0.0000 4.5229
Zr Co N O
4 4 4 4
Cartesian
0.3831 1.0400 0.0000 Zr
2.7127 1.0400 2.2615 Zr
3.4789 6.1021 0.0000 Zr
5.8085 6.1021 2.2615 Zr
0.6007 4.6227 4.4975 Co
2.4951 4.6227 2.2361 Co
3.6965 2.5193 4.4975 Co
5.5909 2.5193 2.2361 Co
0.5672 0.9090 2.2624 N
2.5286 0.9090 0.0009 N
3.6630 6.2331 2.2624 N
5.6244 6.2331 0.0009 N
0.4971 4.2646 2.2752 O
2.5987 4.2646 0.0137 O
3.5929 2.8775 2.2752 O
5.6945 2.8775 0.0137 O
```

Output
DFT total energy ... -32.04 eV per formula unit
Excess energy over the best structure of this formula in the dataset ... 0.119 eV/atom

---

(3)
The following is a DFT calculation (PBE with a Hubbard U) of a relaxed ZrCoNO crystal.

POSCAR file:
```
ZrCoNO
1.0
4.4950 0.0000 0.0000
0.0000 4.4950 0.0000
0.0000 0.0000 4.3091
Zr Co N O
2 2 2 2
Cartesian
1.1237 3.3712 0.0000 Zr
3.3712 1.1237 0.0000 Zr
1.1237 1.1237 2.1212 Co
3.3712 3.3712 2.1879 Co
1.1237 1.1237 4.2840 N
3.3712 3.3712 0.0251 N
1.1237 3.3712 2.1546 O
3.3712 1.1237 2.1546 O
```

Output
DFT total energy ... -32.45 eV per formula unit
Excess energy over the best structure of this formula in the dataset ... 0.018 eV/atom

---

(4)
The following is a DFT calculation (PBE with a Hubbard U) of a relaxed ZrCoNO crystal.

POSCAR file:
```
ZrCoNO
1.0
3.3709 0.0000 0.0000
0.0000 3.3709 0.0000
0.0000 0.0000 7.4401
Zr Co N O
2 2 2 2
Cartesian
0.8427 0.8427 1.3105 Zr
2.5282 2.5282 6.1296 Zr
0.8427 2.5282 3.7200 Co
2.5282 0.8427 3.7200 Co
0.8427 0.8427 5.0756 N
2.5282 2.5282 2.3645 N
0.8427 2.5282 0.0000 O
2.5282 0.8427 0.0000 O
```

Output
DFT total energy ... -31.42 eV per formula unit
Excess energy over the best structure of this formula in the dataset ... 0.276 eV/atom

---

(5)
The following is a DFT calculation (PBE with a Hubbard U) of a relaxed ZrCoNO crystal.

POSCAR file:
```
ZrCoNO
1.0
4.5130 0.0000 0.0000
0.0000 4.5130 0.0000
0.0000 0.0000 4.3072
Zr Co N O
2 2 2 2
Cartesian
0.0000 2.2565 0.0000 Zr
2.2565 0.0000 0.0000 Zr
0.0000 0.0000 2.1000 Co
2.2565 2.2565 2.2259 Co
0.0000 0.0000 4.2604 N
2.2565 2.2565 0.0606 N
0.0000 2.2565 2.1591 O
2.2565 0.0000 2.1591 O
```

Output
DFT total energy ... -32.52 eV per formula unit
Excess energy over the best structure of this formula in the dataset ... 0.000 eV/atom

---

(6)
The following is a DFT calculation (PBE with a Hubbard U) of a relaxed ZrCoNO crystal.

POSCAR file:
```
ZrCoNO
1.0
3.7164 0.0000 0.0000
0.0000 5.8341 0.0000
0.0000 0.0000 4.5838
Zr Co N O
2 2 2 2
Cartesian
0.0000 1.0975 0.0000 Zr
0.0000 4.7366 2.2919 Zr
1.8582 1.5364 2.5292 Co
1.8582 4.2977 0.2373 Co
0.0000 0.9925 2.2697 N
0.0000 4.8416 4.5616 N
1.8582 2.0656 0.0297 O
1.8582 3.7685 2.3216 O
```

Output
DFT total energy ... -32.19 eV per formula unit
Excess energy over the best structure of this formula in the dataset ... 0.083 eV/atom

---

(7)
The following is a DFT calculation (PBE with a Hubbard U) of a relaxed ZrCoNO crystal.

POSCAR file:
```
ZrCoNO
1.0
5.8446 0.0000 0.0000
0.0000 5.6544 0.0000
0.0000 0.0000 5.2689
Zr Co N O
4 4 4 4
Cartesian
0.5823 1.3359 0.0000 Zr
2.3401 1.3359 2.6344 Zr
3.5046 4.3184 0.0000 Zr
5.2624 4.3184 2.6344 Zr
0.6360 4.3423 5.2566 Co
2.2863 4.3423 2.6222 Co
3.5583 1.3120 5.2566 Co
5.2086 1.3120 2.6222 Co
0.8405 5.6293 1.6830 N
2.0818 5.6293 4.3174 N
3.7628 0.0250 1.6830 N
5.0042 0.0250 4.3174 N
0.7980 2.7002 1.8270 O
2.1243 2.7002 4.4615 O
3.7203 2.9542 1.8270 O
5.0467 2.9542 4.4615 O
```

Output
DFT total energy ... -31.92 eV per formula unit
Excess energy over the best structure of this formula in the dataset ... 0.149 eV/atom

---

Which formula does entry 5 have? ZrCoNO